[1]
This record from the Alexandria database describes crystalline ErGa2Rh at its relaxed geometry. The functional is PBE.

Cell and atoms, written as CIF:
```
data_ErGa2Rh
_chemical_formula_sum 'Er3 Ga6 Rh3'
_space_group_name_H-M_alt 'R -3 m'
_space_group_IT_number 166
_space_group_name_Hall '-R 3 2"'
_cell_length_a 4.2108
_cell_length_b 4.2108
_cell_length_c 14.6844
_cell_angle_alpha 90.00
_cell_angle_beta 90.00
_cell_angle_gamma 120.00
loop_
_atom_site_label
_atom_site_type_symbol
_atom_site_fract_x
_atom_site_fract_y
_atom_site_fract_z
_atom_site_occupancy
Er1 Er 0.0000 0.0000 0.0000 1
Ga1 Ga 0.0000 0.0000 0.2182 1
Rh1 Rh 0.0000 0.0000 0.5000 1
```

Values from the calculation:
Formation enthalpy at 0 K, meV per atom: -685
Density, Mg/m³: 9.05



[2]
This record from the Alexandria database describes crystalline Er5GaRh6 at its relaxed geometry. The functional is PBE.

Cell and atoms, written as CIF:
```
data_Er5GaRh6
_chemical_formula_sum 'Er10 Ga2 Rh12'
_space_group_name_H-M_alt 'I m m m'
_space_group_IT_number 71
_space_group_name_Hall '-I 2 2'
_cell_length_a 4.699
_cell_length_b 6.744
_cell_length_c 14.053
_cell_angle_alpha 90.00
_cell_angle_beta 90.00
_cell_angle_gamma 90.00
loop_
_atom_site_label
_atom_site_type_symbol
_atom_site_fract_x
_atom_site_fract_y
_atom_site_fract_z
_atom_site_occupancy
Er1 Er 0.000 0.000 0.000 1
Er2 Er 0.000 0.000 0.344 1
Er3 Er 0.000 0.500 0.330 1
Ga1 Ga 0.000 0.500 0.000 1
Rh1 Rh 0.000 0.252 0.500 1
Rh2 Rh 0.000 0.254 0.163 1
```

Values from the calculation:
Formation enthalpy at 0 K, meV per atom: -888
Density, Mg/m³: 11.36



[3]
This record from the Alexandria database describes crystalline Er3Ga4Rh2 at its relaxed geometry. The functional is PBE.

Cell and atoms, written as CIF:
```
data_Er3Ga4Rh2
_chemical_formula_sum 'Er6 Ga8 Rh4'
_space_group_name_H-M_alt 'C 1 2/m 1'
_space_group_IT_number 12
_space_group_name_Hall '-C 2y'
_cell_length_a 10.497
_cell_length_b 4.416
_cell_length_c 8.362
_cell_angle_alpha 90.00
_cell_angle_beta 115.45
_cell_angle_gamma 90.00
loop_
_atom_site_label
_atom_site_type_symbol
_atom_site_fract_x
_atom_site_fract_y
_atom_site_fract_z
_atom_site_occupancy
Er1 Er 0.000 0.000 0.000 1
Er2 Er 0.182 0.500 0.643 1
Ga1 Ga 0.032 0.000 0.368 1
Ga2 Ga 0.208 0.500 0.046 1
Rh1 Rh 0.090 0.500 0.260 1
```

Values from the calculation:
Formation enthalpy at 0 K, meV per atom: -787
Density, Mg/m³: 9.36
Energy above the lowest structure with this stoichiometry, meV/atom: 0



[4]
This record from the Alexandria database describes crystalline Er2Ga5Rh3 at its relaxed geometry. The functional is PBE.

Cell and atoms, written as CIF:
```
data_Er2Ga5Rh3
_chemical_formula_sum 'Er8 Ga20 Rh12'
_space_group_name_H-M_alt 'I b a m'
_space_group_IT_number 72
_space_group_name_Hall '-I 2 2c'
_cell_length_a 9.804
_cell_length_b 12.902
_cell_length_c 5.631
_cell_angle_alpha 90.00
_cell_angle_beta 90.00
_cell_angle_gamma 90.00
loop_
_atom_site_label
_atom_site_type_symbol
_atom_site_fract_x
_atom_site_fract_y
_atom_site_fract_z
_atom_site_occupancy
Er1 Er 0.225 0.145 0.000 1
Ga1 Ga 0.000 0.000 0.250 1
Ga2 Ga 0.000 0.300 0.250 1
Ga3 Ga 0.182 0.416 0.000 1
Rh1 Rh 0.000 0.500 0.250 1
Rh2 Rh 0.084 0.152 0.500 1
```

Values from the calculation:
Formation enthalpy at 0 K, meV per atom: -798
Density, Mg/m³: 9.25
Energy above the lowest structure with this stoichiometry, meV/atom: 0



[5]
This record from the Alexandria database describes crystalline ErGa2Rh at its relaxed geometry. The functional is PBE.

Cell and atoms, written as CIF:
```
data_ErGa2Rh
_chemical_formula_sum 'Er1 Ga2 Rh1'
_space_group_name_H-M_alt 'P 4/m m m'
_space_group_IT_number 123
_space_group_name_Hall '-P 4 2'
_cell_length_a 3.233
_cell_length_b 3.233
_cell_length_c 6.804
_cell_angle_alpha 90.00
_cell_angle_beta 90.00
_cell_angle_gamma 90.00
loop_
_atom_site_label
_atom_site_type_symbol
_atom_site_fract_x
_atom_site_fract_y
_atom_site_fract_z
_atom_site_occupancy
Er1 Er 0.000 0.000 0.000 1
Ga1 Ga 0.500 0.500 0.300 1
Rh1 Rh 0.000 0.000 0.500 1
```

Values from the calculation:
Formation enthalpy at 0 K, meV per atom: -582
Density, Mg/m³: 9.56



[6]
This record from the Alexandria database describes crystalline Er2Ga6Rh at its relaxed geometry. The functional is PBE.

Cell and atoms, written as CIF:
```
data_Er2Ga6Rh
_chemical_formula_sum 'Er4 Ga12 Rh2'
_space_group_name_H-M_alt 'C 1 2/m 1'
_space_group_IT_number 12
_space_group_name_Hall '-C 2y'
_cell_length_a 10.125
_cell_length_b 5.716
_cell_length_c 5.737
_cell_angle_alpha 90.00
_cell_angle_beta 92.11
_cell_angle_gamma 90.00
loop_
_atom_site_label
_atom_site_type_symbol
_atom_site_fract_x
_atom_site_fract_y
_atom_site_fract_z
_atom_site_occupancy
Er1 Er 0.163 0.000 0.354 1
Ga1 Ga 0.092 0.237 0.824 1
Ga2 Ga 0.173 0.500 0.190 1
Rh1 Rh 0.000 0.500 0.500 1
```

Values from the calculation:
Formation enthalpy at 0 K, meV per atom: -578
Density, Mg/m³: 8.57



[7]
This record from the Alexandria database describes crystalline ErGa2Rh at its relaxed geometry. The functional is PBE.

Cell and atoms, written as CIF:
```
data_ErGa2Rh
_chemical_formula_sum 'Er4 Ga8 Rh4'
_space_group_name_H-M_alt 'F m -3 m'
_space_group_IT_number 225
_space_group_name_Hall '-F 4 2 3'
_cell_length_a 6.512
_cell_length_b 6.512
_cell_length_c 6.512
_cell_angle_alpha 90.00
_cell_angle_beta 90.00
_cell_angle_gamma 90.00
loop_
_atom_site_label
_atom_site_type_symbol
_atom_site_fract_x
_atom_site_fract_y
_atom_site_fract_z
_atom_site_occupancy
Er1 Er 0.000 0.000 0.000 1
Ga1 Ga 0.250 0.250 0.250 1
Rh1 Rh 0.000 0.000 0.500 1
```

Values from the calculation:
Formation enthalpy at 0 K, meV per atom: -630
Density, Mg/m³: 9.85



[8]
This record from the Alexandria database describes crystalline Er6GaRh5 at its relaxed geometry. The functional is PBE.

Cell and atoms, written as CIF:
```
data_Er6GaRh5
_chemical_formula_sum 'Er12 Ga2 Rh10'
_space_group_name_H-M_alt 'C 1 2/m 1'
_space_group_IT_number 12
_space_group_name_Hall '-C 2y'
_cell_length_a 8.360
_cell_length_b 14.567
_cell_length_c 4.835
_cell_angle_alpha 90.00
_cell_angle_beta 125.25
_cell_angle_gamma 90.00
loop_
_atom_site_label
_atom_site_type_symbol
_atom_site_fract_x
_atom_site_fract_y
_atom_site_fract_z
_atom_site_occupancy
Er1 Er 0.242 0.000 0.241 1
Er2 Er 0.246 0.170 0.746 1
Ga1 Ga 0.000 0.500 0.000 1
Rh1 Rh 0.000 0.000 0.500 1
Rh2 Rh 0.000 0.167 0.000 1
Rh3 Rh 0.000 0.334 0.500 1
```

Values from the calculation:
Formation enthalpy at 0 K, meV per atom: -860
Density, Mg/m³: 10.97



V per entry: 225; 445; 350; 712; 71; 332; 276; 481 Å³/cell
Electronic total energy per entry: -62.126; -161.219; -95.164; -217.183; -20.296; -79.688; -81.945; -154.952 eV for the cell shown
Density of states at the Fermi level per entry: 0.74; 0.30; 0.54; 0.40; 0.80; 0.69; 0.32; 0.47 states/eV per atom